PBE FeHN2, optimized geometry; final energy = -21.76 eV for the cell shown; ΔE to the lowest computed polymorph = 1334 meV per atom; size of the total moment = 1.092 Bohr magnetons per cell; D(E_F) = 0.518 states/eV/atom
1.0
1.357 0.784 4.763
-1.357 0.784 4.763
0.000 -1.567 4.763
Fe H N
1 1 2
Direct
0.000 0.000 0.000
0.500 0.500 0.500
0.121 0.121 0.121
0.879 0.879 0.879

=====

PBE FeNiH2N, optimized geometry; final energy = -26.68 eV for the cell shown; size of the total moment = 2.361 Bohr magnetons per cell; D(E_F) = 0.683 states/eV/atom
1.0
2.838 0.000 0.000
0.000 2.838 0.000
0.000 0.000 5.196
Fe Ni H N
1 1 2 1
Direct
0.000 0.000 0.000
0.000 0.000 0.500
0.000 0.500 0.500
0.500 0.000 0.500
0.500 0.500 0.000

=====

Question: Among the records above, which one has the highest final energy?
Answer: FeHN2

=====

Question: Look up the D(E_F) of the second one.
Answer: 0.683 states/eV/atom